Entry from Alexandria: a PBEsol-optimized structure of SrTc2Te (SCAN).

Computed properties:
Electronic total energy = -31.841 eV per atom
Formation energy from raw total energies = 0.57 eV/atom

abc: 3.062 5.152 5.445
angles: 90.00 90.00 90.00
Sites, in units of the cell vectors:
Sr: 0.000 0.000 0.000
Tc: 0.500 0.500 0.299
Tc: 0.500 0.500 0.701
Te: 0.500 0.000 0.500

=====

Entry from Alexandria: a PBEsol-optimized structure of SrTcTe2 (SCAN).

Computed properties:
Energy relative to the lowest polymorph listed for this composition = 28.9 kJ per mole of atoms
Electronic total energy = -33.246 eV per atom
Formation energy from raw total energies = -0.29 eV/atom

abc: 8.201 8.201 8.201
angles: 134.21 134.21 66.76
Sites, in units of the cell vectors:
Sr: 0.000 0.000 0.000
Sr: 0.750 0.250 0.500
Tc: 0.250 0.750 0.500
Tc: 0.500 0.500 0.000
Te: 0.214 0.625 0.089
Te: 0.375 0.464 0.589
Te: 0.536 0.125 0.911
Te: 0.875 0.786 0.411

=====

Entry from Alexandria: a PBEsol-optimized structure of SrTcTe2 (SCAN).

Computed properties:
Energy relative to the lowest polymorph listed for this composition = 0.0 kJ per mole of atoms
Electronic total energy = -33.545 eV per atom
Formation energy from raw total energies = -0.59 eV/atom

abc: 6.934 6.934 6.934
angles: 35.87 35.87 35.87
Sites, in units of the cell vectors:
Sr: 0.000 0.000 0.000
Tc: 0.500 0.500 0.500
Te: 0.227 0.227 0.227
Te: 0.773 0.773 0.773

=====

Number 1: N(E_F) 2.884 states/eV per cell. Number 2: N(E_F) 6.027 states/eV per cell. Number 3: N(E_F) 3.137 states/eV per cell.